Entry from Alexandria: a relaxed Ti6Al12Ir crystal (GGA-PBE).

Output
E_tot	-5.67	eV per atom
DOS at the Fermi energy	39.83	states/eV/cell
spin magnetization	0.0	μB per cell

```
data_Ti6Al12Ir
_chemical_formula_sum 'Ti18 Al36 Ir3'
_cell_length_a 9.9955
_cell_length_b 9.9955
_cell_length_c 10.7869
_cell_angle_alpha 90.00
_cell_angle_beta 90.00
_cell_angle_gamma 120.00
_space_group_name_H-M_alt 'R -3'
_space_group_IT_number 148
_space_group_name_Hall '-R 3'
loop_
_atom_site_label
_atom_site_fract_x
_atom_site_fract_y
_atom_site_fract_z
Ti1 0.0136 0.4226 0.2176
Al1 0.0494 0.8614 0.8996
Al2 0.0536 0.1899 0.3235
Ir1 0.0000 0.0000 0.5000
```

Entry from Alexandria: a relaxed MoPb2W crystal (GGA-PBE).

Output
relative energy among the computed polymorphs	147	meV/atom
DOS at the Fermi energy	4.73	states/eV/cell
spin magnetization	0.0	μB per cell

```
data_MoPb2W
_chemical_formula_sum 'Mo2 Pb4 W2'
_cell_length_a 3.378
_cell_length_b 5.096
_cell_length_c 10.726
_cell_angle_alpha 90.00
_cell_angle_beta 90.00
_cell_angle_gamma 90.00
_space_group_name_H-M_alt 'C m m 2'
_space_group_IT_number 35
_space_group_name_Hall 'C 2 -2'
loop_
_atom_site_label
_atom_site_fract_x
_atom_site_fract_y
_atom_site_fract_z
Mo1 0.000 0.000 0.000
Pb1 0.000 0.000 0.580
Pb2 0.000 0.500 0.239
W1 0.000 0.500 0.822
```

Entry from Alexandria: a relaxed SrYB crystal (GGA-PBE).

Output
relative energy among the computed polymorphs	453	meV/atom
DOS at the Fermi energy	4.25	states/eV/cell
spin magnetization	0.0	μB per cell

```
data_SrYB
_chemical_formula_sum 'Sr2 Y2 B2'
_cell_length_a 4.4458
_cell_length_b 4.4458
_cell_length_c 9.3023
_cell_angle_alpha 90.00
_cell_angle_beta 90.00
_cell_angle_gamma 120.00
_space_group_name_H-M_alt 'P 63/m m c'
_space_group_IT_number 194
_space_group_name_Hall '-P 6c 2c'
loop_
_atom_site_label
_atom_site_fract_x
_atom_site_fract_y
_atom_site_fract_z
Sr1 0.0000 0.0000 0.0000
Y1 0.3333 0.6667 0.2500
B1 0.3333 0.6667 0.7500
```

Entry from Alexandria: a relaxed NaTlCl3 crystal (GGA-PBE).

Output
E_form (uncorrected)	-1.12	eV per atom
DOS at the Fermi energy	9.75	states/eV/cell
spin magnetization	0.0	μB per cell

```
data_NaTlCl3
_chemical_formula_sum 'Na4 Tl4 Cl12'
_cell_length_a 4.163
_cell_length_b 20.040
_cell_length_c 7.014
_cell_angle_alpha 90.00
_cell_angle_beta 90.00
_cell_angle_gamma 90.00
_space_group_name_H-M_alt 'C m c 21'
_space_group_IT_number 36
_space_group_name_Hall 'C 2c -2'
loop_
_atom_site_label
_atom_site_fract_x
_atom_site_fract_y
_atom_site_fract_z
Na1 0.000 0.018 0.000
Tl1 0.000 0.331 0.974
Cl1 0.000 0.107 0.694
Cl2 0.000 0.226 0.241
Cl3 0.000 0.453 0.766
```

Entry from Alexandria: a relaxed GdTi2O crystal (GGA-PBE).

Output
E_form (uncorrected)	-0.95	eV per atom
DOS at the Fermi energy	9.05	states/eV/cell
spin magnetization	23.2	μB per cell

```
data_GdTi2O
_chemical_formula_sum 'Gd3 Ti6 O3'
_cell_length_a 3.1850
_cell_length_b 3.1850
_cell_length_c 24.0166
_cell_angle_alpha 90.00
_cell_angle_beta 90.00
_cell_angle_gamma 120.00
_space_group_name_H-M_alt 'R -3 m'
_space_group_IT_number 166
_space_group_name_Hall '-R 3 2"'
loop_
_atom_site_label
_atom_site_fract_x
_atom_site_fract_y
_atom_site_fract_z
Gd1 0.0000 0.0000 0.0000
Ti1 0.0000 0.0000 0.1245
O1 0.0000 0.0000 0.5000
```

Entry from Alexandria: a relaxed CaMg3Hg crystal (GGA-PBE).

Output
relative energy among the computed polymorphs	230	meV/atom
DOS at the Fermi energy	2.90	states/eV/cell
spin magnetization	0.0	μB per cell

```
data_CaMg3Hg
_chemical_formula_sum 'Ca1 Mg3 Hg1'
_cell_length_a 5.290
_cell_length_b 5.290
_cell_length_c 5.290
_cell_angle_alpha 90.00
_cell_angle_beta 90.00
_cell_angle_gamma 90.00
_space_group_name_H-M_alt 'P m -3 m'
_space_group_IT_number 221
_space_group_name_Hall '-P 4 2 3'
loop_
_atom_site_label
_atom_site_fract_x
_atom_site_fract_y
_atom_site_fract_z
Ca1 0.000 0.000 0.000
Mg1 0.000 0.500 0.500
Hg1 0.500 0.500 0.500
```